Material: LaMg2Ga6
Method: DFT, PBE
State: optimized geometry

Output
For the energy above the most stable polymorph in this dataset, the calculation gives 0 meV per atom. As for the crystal system: orthorhombic.

Cell lengths 7.4727, 7.4727, 7.4727 Å; angles 147.17, 121.92, 68.35 degrees
With the nearest neighbours (Å) after each atom.
Sites, in units of the cell vectors:
La 0.0000 0.0000 0.0000  12 Ga 3.16-3.47
Mg 0.3833 0.8833 0.5000  6 Ga 2.73-2.86, 1 Mg 2.89
Mg 0.6167 0.1167 0.5000  6 Ga 2.73-2.86, 1 Mg 2.89
Ga 0.0024 0.6931 0.3093  4 Ga 2.58-2.77, 1 Mg 2.73
Ga 0.3239 0.5000 0.8239  3 Ga 2.56-2.58, 4 Mg 2.86
Ga 0.3838 0.6931 0.6907  4 Ga 2.58-2.77, 1 Mg 2.73
Ga 0.6162 0.3069 0.3093  4 Ga 2.58-2.77, 1 Mg 2.73
Ga 0.6761 0.5000 0.1761  3 Ga 2.56-2.58, 4 Mg 2.86
Ga 0.9976 0.3069 0.6907  4 Ga 2.58-2.77, 1 Mg 2.73


Material: LaMg4Ga2
Method: DFT, PBE
State: optimized geometry

Output
For the energy above the most stable polymorph in this dataset, the calculation gives 0 meV per atom. As for the crystal system: orthorhombic.

Cell lengths 8.4023, 8.4023, 4.4597 Å; angles 90.00, 90.00, 149.13 degrees
With the nearest neighbours (Å) after each atom.
Sites, in units of the cell vectors:
La 0.0000 0.0000 0.0000  8 Ga 3.40, 8 Mg 3.64-3.67
Mg 0.1780 0.8220 0.5000  2 Ga 2.77
Mg 0.3200 0.6800 0.0000  2 Ga 2.78
Mg 0.6800 0.3200 0.0000  2 Ga 2.78
Mg 0.8220 0.1780 0.5000  2 Ga 2.77
Ga 0.4229 0.5771 0.5000  1 Ga 2.50, 4 Mg 2.77-2.78
Ga 0.5771 0.4229 0.5000  1 Ga 2.50, 4 Mg 2.77-2.78


Material: LaMg14Ga
Method: DFT, PBE
State: optimized geometry

Output
For the energy above the most stable polymorph in this dataset, the calculation gives 0 meV per atom. As for the crystal system: orthorhombic.

Cell lengths 10.4554, 6.5470, 6.5470 Å; angles 57.97, 90.00, 90.00 degrees
With the nearest neighbours (Å) after each atom.
Sites, in units of the cell vectors:
La 0.0000 0.0000 0.0000  2 Ga 3.19, 10 Mg 3.25-3.31
Mg 0.0000 0.0088 0.4945  1 Ga 2.98, 8 Mg 3.08-3.31, 2 La 3.27-3.28
Mg 0.0000 0.4945 0.0088  1 Ga 2.98, 8 Mg 3.08-3.31, 2 La 3.27-3.28
Mg 0.2278 0.6431 0.6431  1 Ga 3.07, 11 Mg 3.14-3.42
Mg 0.2550 0.1501 0.6503  10 Mg 3.16-3.36, 1 Ga 3.22, 1 La 3.31
Mg 0.2550 0.6503 0.1501  10 Mg 3.16-3.36, 1 Ga 3.22, 1 La 3.31
Mg 0.2597 0.1554 0.1554  11 Mg 3.13-3.33, 1 La 3.25
Mg 0.5000 0.4896 0.4896  12 Mg 3.17-3.35
Mg 0.5000 0.4931 0.9814  12 Mg 3.10-3.42
Mg 0.5000 0.9814 0.4931  12 Mg 3.10-3.42
Mg 0.5000 0.9876 0.9876  12 Mg 3.16-3.29
Mg 0.7403 0.1554 0.1554  11 Mg 3.13-3.33, 1 La 3.25
Mg 0.7450 0.1501 0.6503  10 Mg 3.16-3.36, 1 Ga 3.22, 1 La 3.31
Mg 0.7450 0.6503 0.1501  10 Mg 3.16-3.36, 1 Ga 3.22, 1 La 3.31
Mg 0.7722 0.6431 0.6431  1 Ga 3.07, 11 Mg 3.14-3.42
Ga 0.0000 0.4742 0.4742  8 Mg 2.98-3.22, 2 La 3.19


Material: La3Mg7Ga4
Method: DFT, PBE
State: optimized geometry

Output
As for the crystal system: monoclinic.

Cell lengths 8.9376, 8.9376, 10.4274 Å; angles 124.46, 124.46, 29.93 degrees
With the nearest neighbours (Å) after each atom.
Sites, in units of the cell vectors:
La 0.0000 0.0000 0.0000  6 Ga 3.36-3.42, 6 Mg 3.63-3.69
La 0.3007 0.3007 0.2879  4 Ga 3.28-3.33, 10 Mg 3.30-3.63
La 0.6993 0.6993 0.7121  4 Ga 3.28-3.33, 10 Mg 3.30-3.63
Mg 0.0000 0.0000 0.5000  2 Ga 2.88, 4 Mg 3.15
Mg 0.1635 0.1635 0.4288  3 Ga 2.84-2.92
Mg 0.3277 0.3277 0.9833  4 Ga 2.75-2.88, 1 Mg 2.94
Mg 0.4920 0.4920 0.6978  3 Ga 2.78-2.97, 1 Mg 2.94
Mg 0.5080 0.5080 0.3022  3 Ga 2.78-2.97, 1 Mg 2.94
Mg 0.6723 0.6723 0.0167  4 Ga 2.75-2.88, 1 Mg 2.94
Mg 0.8365 0.8365 0.5712  3 Ga 2.84-2.92
Ga 0.1256 0.1256 0.8407  6 Mg 2.76-2.97
Ga 0.3471 0.3471 0.7394  5 Mg 2.75-2.92
Ga 0.6529 0.6529 0.2606  5 Mg 2.75-2.92
Ga 0.8744 0.8744 0.1593  6 Mg 2.76-2.97


Material: LaMgGa3
Method: DFT, PBE
State: optimized geometry

Output
As for the crystal system: cubic.

Cell lengths 5.0070, 5.0070, 5.0070 Å; angles 90.00, 90.00, 90.00 degrees
With the nearest neighbours (Å) after each atom.
Sites, in units of the cell vectors:
La 0.0000 0.0000 0.0000  12 Ga 3.54
Mg 0.5000 0.5000 0.5000  6 Ga 2.50
Ga 0.0000 0.5000 0.5000  2 Mg 2.50
Ga 0.5000 0.0000 0.5000  2 Mg 2.50
Ga 0.5000 0.5000 0.0000  2 Mg 2.50


Material: La2MgGa3
Method: DFT, PBE
State: optimized geometry

Output
As for the crystal system: orthorhombic.

Cell lengths 9.3026, 8.9515, 6.0961 Å; angles 73.63, 67.41, 38.96 degrees
With the nearest neighbours (Å) after each atom.
Sites, in units of the cell vectors:
La 0.2486 0.7514 0.7514  10 Ga 3.27-3.37, 2 Mg 3.34
La 0.2500 0.2500 0.2500  4 Mg 3.32, 8 Ga 3.34-3.35
La 0.7500 0.7500 0.7500  4 Mg 3.32, 8 Ga 3.34-3.35
La 0.7514 0.2486 0.2486  10 Ga 3.27-3.37, 2 Mg 3.34
Mg 0.3325 0.3325 0.6675  3 Ga 2.72-2.76
Mg 0.6675 0.6675 0.3325  3 Ga 2.72-2.76
Ga 0.1622 0.6740 0.3260  2 Ga 2.63-2.64, 1 Mg 2.76
Ga 0.1632 0.1632 0.8368  2 Ga 2.63, 1 Mg 2.72
Ga 0.3260 0.8378 0.1622  2 Ga 2.63-2.64, 1 Mg 2.76
Ga 0.6740 0.1622 0.8378  2 Ga 2.63-2.64, 1 Mg 2.76
Ga 0.8368 0.8368 0.1632  2 Ga 2.63, 1 Mg 2.72
Ga 0.8378 0.3260 0.6740  2 Ga 2.63-2.64, 1 Mg 2.76


Material: LaMg6Ga2
Method: DFT, PBE
State: optimized geometry

Output
As for the crystal system: tetragonal.

Cell lengths 4.5003, 4.5003, 10.1933 Å; angles 90.00, 90.00, 90.00 degrees
With the nearest neighbours (Å) after each atom.
Sites, in units of the cell vectors:
La 0.0000 0.0000 0.0000  8 Ga 3.42, 8 Mg 3.64
Mg 0.0000 0.0000 0.5000  12 Mg 3.18
Mg 0.0000 0.5000 0.2802  2 Ga 2.77
Mg 0.0000 0.5000 0.7198  2 Ga 2.77
Mg 0.5000 0.0000 0.2802  2 Ga 2.77
Mg 0.5000 0.0000 0.7198  2 Ga 2.77
Mg 0.5000 0.5000 0.5000  12 Mg 3.18
Ga 0.5000 0.5000 0.1220  1 Ga 2.49, 4 Mg 2.77
Ga 0.5000 0.5000 0.8780  1 Ga 2.49, 4 Mg 2.77


Material: LaMg4Ga4
Method: DFT, PBE
State: optimized geometry

Output
As for the crystal system: tetragonal.

Cell lengths 6.6451, 6.6451, 9.0708 Å; angles 90.00, 90.00, 90.00 degrees
With the nearest neighbours (Å) after each atom.
Sites, in units of the cell vectors:
La 0.2500 0.7500 0.2500  4 Ga 3.42, 8 Mg 3.82
La 0.7500 0.2500 0.7500  4 Ga 3.42, 8 Mg 3.82
Mg 0.0065 0.2500 0.1437  5 Ga 2.74-2.77
Mg 0.2500 0.0065 0.6437  5 Ga 2.74-2.77
Mg 0.2500 0.4935 0.6437  5 Ga 2.74-2.77
Mg 0.4935 0.2500 0.1437  5 Ga 2.74-2.77
Mg 0.5065 0.7500 0.8563  5 Ga 2.74-2.77
Mg 0.7500 0.5065 0.3563  5 Ga 2.74-2.77
Mg 0.7500 0.9935 0.3563  5 Ga 2.74-2.77
Mg 0.9935 0.7500 0.8563  5 Ga 2.74-2.77
Ga 0.0542 0.2500 0.4459  1 Ga 2.60, 5 Mg 2.74-2.77
Ga 0.2500 0.0542 0.9459  1 Ga 2.60, 5 Mg 2.74-2.77
Ga 0.2500 0.4458 0.9459  1 Ga 2.60, 5 Mg 2.74-2.77
Ga 0.4458 0.2500 0.4459  1 Ga 2.60, 5 Mg 2.74-2.77
Ga 0.5542 0.7500 0.5541  1 Ga 2.60, 5 Mg 2.74-2.77
Ga 0.7500 0.5542 0.0541  1 Ga 2.60, 5 Mg 2.74-2.77
Ga 0.7500 0.9458 0.0541  1 Ga 2.60, 5 Mg 2.74-2.77
Ga 0.9458 0.7500 0.5541  1 Ga 2.60, 5 Mg 2.74-2.77


no.,Fermi-level density of states (states/eV per cell),E (eV/atom)
1,2.53,-3.209
2,3.39,-2.803
3,8.04,-1.921
4,6.90,-3.083
5,1.47,-3.148
6,7.68,-3.956
7,2.10,-2.537
8,6.62,-2.828